(1)
First-principles (PBE-GGA) data for an optimized crystal structure of Ge2PdO3, as listed in OQMD via LeMat-Bulk.

Cell: 3.367 4.057 11.600 Å, 90.00 90.00 90.00°
Element x y z (fractional)
Ge1 0.000 0.000 0.155
Ge2 0.000 0.000 0.845
Ge3 0.500 0.500 0.345
Ge4 0.500 0.500 0.655
Pd1 0.000 0.000 0.500
Pd2 0.500 0.500 0.000
O1 0.000 0.000 0.322
O2 0.000 0.000 0.678
O3 0.000 0.500 0.500
O4 0.500 0.000 0.000
O5 0.500 0.500 0.178
O6 0.500 0.500 0.822

## Properties
**Space group**: No. 71
**Energy**: -5.3685 eV per atom
**ρ**: 6.3 g cm⁻³


(2)
First-principles (PBE-GGA) data for an optimized crystal structure of KRe3Sb5, as listed in OQMD via LeMat-Bulk.

Cell: 5.588 5.588 9.275 Å, 90.00 90.00 120.00°
Element x y z (fractional)
K1 0.000 0.000 0.000
Re1 0.000 0.500 0.500
Re2 0.500 0.000 0.500
Re3 0.500 0.500 0.500
Sb1 0.000 0.000 0.500
Sb2 0.333 0.667 0.251
Sb3 0.333 0.667 0.749
Sb4 0.667 0.333 0.251
Sb5 0.667 0.333 0.749

## Properties
**Space group**: No. 191
**Energy**: -6.2557 eV per atom
**ρ**: 8.0 g cm⁻³


(3)
First-principles (PBE-GGA) data for an optimized crystal structure of CsRb2ErF6, as listed in OQMD via LeMat-Bulk.

Cell: 6.762 6.762 6.762 Å, 60.00 60.00 60.00°
Element x y z (fractional)
Cs1 0.000 0.000 0.000
Rb1 0.250 0.250 0.250
Rb2 0.750 0.750 0.750
Er1 0.500 0.500 0.500
F1 0.278 0.278 0.722
F2 0.278 0.722 0.278
F3 0.278 0.722 0.722
F4 0.722 0.278 0.278
F5 0.722 0.278 0.722
F6 0.722 0.722 0.278

## Properties
**Space group**: No. 225
**Energy**: -5.0930 eV per atom
**ρ**: 4.4 g cm⁻³


(4)
First-principles (PBE-GGA) data for an optimized crystal structure of Lu2ScTc, as listed in OQMD via LeMat-Bulk.

Cell: 7.011 7.011 7.011 Å, 90.00 90.00 90.00°
Element x y z (fractional)
Lu1 0.000 0.000 0.000
Lu2 0.000 0.500 0.500
Lu3 0.250 0.250 0.250
Lu4 0.250 0.750 0.750
Lu5 0.500 0.000 0.500
Lu6 0.500 0.500 0.000
Lu7 0.750 0.250 0.750
Lu8 0.750 0.750 0.250
Sc1 0.250 0.250 0.750
Sc2 0.250 0.750 0.250
Sc3 0.750 0.250 0.250
Sc4 0.750 0.750 0.750
Tc1 0.000 0.000 0.500
Tc2 0.000 0.500 0.000
Tc3 0.500 0.000 0.000
Tc4 0.500 0.500 0.500

## Properties
**Space group**: No. 216
**ρ**: 9.5 g cm⁻³
**Formation energy**: 95 meV per atom


(5)
First-principles (PBE-GGA) data for an optimized crystal structure of NaCd2Pd2, as listed in OQMD via LeMat-Bulk.

Cell: 8.006 8.006 3.045 Å, 90.00 90.00 90.00°
Element x y z (fractional)
Na1 0.000 0.000 0.000
Na2 0.500 0.500 0.000
Cd1 0.166 0.334 0.500
Cd2 0.334 0.834 0.500
Cd3 0.666 0.166 0.500
Cd4 0.834 0.666 0.500
Pd1 0.130 0.630 0.000
Pd2 0.370 0.130 0.000
Pd3 0.630 0.870 0.000
Pd4 0.870 0.370 0.000

## Properties
**Space group**: No. 127
**Energy**: -3.0456 eV per atom
**ρ**: 7.8 g cm⁻³


(6)
First-principles (PBE-GGA) data for an optimized crystal structure of Sm3Fe2B2P3, as listed in OQMD via LeMat-Bulk.

Cell: 11.236 11.236 11.236 Å, 159.61 159.61 28.99°
Element x y z (fractional)
Sm1 0.000 0.000 0.000
Sm2 0.365 0.365 0.000
Sm3 0.635 0.635 0.000
Fe1 0.250 0.750 0.500
Fe2 0.750 0.250 0.500
B1 0.221 0.221 0.000
B2 0.779 0.779 0.000
P1 0.129 0.129 0.000
P2 0.500 0.500 0.000
P3 0.871 0.871 0.000

## Properties
**Space group**: No. 139
**Energy**: -6.8057 eV per atom
**ρ**: 6.5 g cm⁻³


(7)
First-principles (PBE-GGA) data for an optimized crystal structure of BiPtPb3, as listed in OQMD via LeMat-Bulk.

Cell: 11.556 11.556 4.140 Å, 90.00 90.00 90.00°
Element x y z (fractional)
Bi1 0.206 0.206 0.000
Bi2 0.294 0.706 0.500
Bi3 0.706 0.294 0.500
Bi4 0.794 0.794 0.000
Pt1 0.087 0.087 0.500
Pt2 0.413 0.587 0.000
Pt3 0.587 0.413 0.000
Pt4 0.913 0.913 0.500
Pb1 0.003 0.330 0.500
Pb2 0.104 0.896 0.000
Pb3 0.170 0.503 0.000
Pb4 0.330 0.003 0.500
Pb5 0.396 0.396 0.500
Pb6 0.497 0.830 0.000
Pb7 0.503 0.170 0.000
Pb8 0.604 0.604 0.500
Pb9 0.670 0.997 0.500
Pb10 0.830 0.497 0.000
Pb11 0.896 0.104 0.000
Pb12 0.997 0.670 0.500

## Properties
**Space group**: No. 136
**Energy**: -4.3869 eV per atom
**ρ**: 12.3 g cm⁻³


(8)
First-principles (PBE-GGA) data for an optimized crystal structure of CdFeSbOs, as listed in OQMD via LeMat-Bulk.

Cell: 6.418 6.418 6.418 Å, 90.00 90.00 90.00°
Element x y z (fractional)
Cd1 0.000 0.000 0.000
Cd2 0.000 0.500 0.500
Cd3 0.500 0.000 0.500
Cd4 0.500 0.500 0.000
Fe1 0.250 0.250 0.750
Fe2 0.250 0.750 0.250
Fe3 0.750 0.250 0.250
Fe4 0.750 0.750 0.750
Sb1 0.000 0.000 0.500
Sb2 0.000 0.500 0.000
Sb3 0.500 0.000 0.000
Sb4 0.500 0.500 0.500
Os1 0.250 0.250 0.250
Os2 0.250 0.750 0.750
Os3 0.750 0.250 0.750
Os4 0.750 0.750 0.250

## Properties
**E above lowest polymorph**: 0.000 eV per atom
**Space group**: No. 216
**ρ**: 12.1 g cm⁻³


(9)
First-principles (PBE-GGA) data for an optimized crystal structure of TbHoTlCu2, as listed in OQMD via LeMat-Bulk.

Cell: 3.623 4.257 14.077 Å, 90.00 90.00 90.00°
Element x y z (fractional)
Tb1 0.000 0.000 0.000
Tb2 0.000 0.500 0.500
Ho1 0.000 0.000 0.269
Ho2 0.000 0.500 0.769
Tl1 0.500 0.000 0.635
Tl2 0.500 0.500 0.135
Cu1 0.500 0.000 0.431
Cu2 0.500 0.000 0.838
Cu3 0.500 0.500 0.338
Cu4 0.500 0.500 0.931

## Properties
**Space group**: No. 38
**Energy**: -4.1222 eV per atom
**ρ**: 10.0 g cm⁻³


(10)
First-principles (PBE-GGA) data for an optimized crystal structure of CsSmCl3, as listed in OQMD via LeMat-Bulk.

Cell: 5.471 5.471 5.471 Å, 90.00 90.00 90.00°
Element x y z (fractional)
Cs1 0.000 0.000 0.000
Sm1 0.500 0.500 0.500
Cl1 0.000 0.500 0.500
Cl2 0.500 0.000 0.500
Cl3 0.500 0.500 0.000

## Properties
**Space group**: No. 221
**Energy**: -4.1548 eV per atom
**ρ**: 4.0 g cm⁻³


(11)
First-principles (PBE-GGA) data for an optimized crystal structure of YCuSiPt, as listed in OQMD via LeMat-Bulk.

Cell: 6.432 6.432 6.432 Å, 90.00 90.00 90.00°
Element x y z (fractional)
Y1 0.000 0.000 0.000
Y2 0.000 0.500 0.500
Y3 0.500 0.000 0.500
Y4 0.500 0.500 0.000
Cu1 0.250 0.250 0.250
Cu2 0.250 0.750 0.750
Cu3 0.750 0.250 0.750
Cu4 0.750 0.750 0.250
Si1 0.250 0.250 0.750
Si2 0.250 0.750 0.250
Si3 0.750 0.250 0.250
Si4 0.750 0.750 0.750
Pt1 0.000 0.000 0.500
Pt2 0.000 0.500 0.000
Pt3 0.500 0.000 0.000
Pt4 0.500 0.500 0.500

## Properties
**E above lowest polymorph**: 0.008 eV per atom
**Space group**: No. 216
**ρ**: 9.4 g cm⁻³


(12)
First-principles (PBE-GGA) data for an optimized crystal structure of AcTmO3, as listed in OQMD via LeMat-Bulk.

Cell: 4.160 4.160 4.630 Å, 90.00 90.00 90.00°
Element x y z (fractional)
Ac1 0.000 0.000 0.000
Tm1 0.500 0.500 0.574
O1 0.000 0.500 0.687
O2 0.500 0.000 0.687
O3 0.500 0.500 0.119

## Properties
**Space group**: No. 99
**Energy**: -8.0612 eV per atom
**ρ**: 9.2 g cm⁻³